Mg2ZrRe | PBE | optimized geometry

Lattice parameters (Å, degrees): 10.3448 10.3448 10.3448 16.19 16.19 16.19
Fractional positions:
Mg1 0.2425 0.2425 0.2425
Mg2 0.7575 0.7575 0.7575
Zr1 0.0000 0.0000 0.0000
Re1 0.5000 0.5000 0.5000

Properties
The crystal system is trigonal. As for the energy above the most stable polymorph in this dataset: 175 meV/atom. The energy relative to the elements is 0.277 eV/atom.